# 1
The following is a PBE calculation of a geometry-optimized K2IrW structure, from Alexandria via LeMat-Bulk.

Calculated values
The value obtained for the energy of formation from the pure elements is 635 meV per atom.

a b c (Å): 3.377 3.377 10.748
angles (deg): 90.00 90.00 90.00
Sites, in units of the cell vectors:
K  0.000  0.000  0.000
K  0.500  0.500  0.416
Ir  0.500  0.500  0.759
W  0.000  0.000  0.672

=====

# 2
The following is a PBE calculation of a geometry-optimized LiBi2As2 structure, from Alexandria via LeMat-Bulk.

Calculated values
The value obtained for the energy of formation from the pure elements is 65 meV per atom.

a b c (Å): 6.284 6.284 6.284
angles (deg): 127.32 127.32 77.73
Sites, in units of the cell vectors:
Li  0.000  0.000  0.000
Bi  0.338  0.338  0.000
Bi  0.662  0.662  0.000
As  0.250  0.750  0.500
As  0.750  0.250  0.500

=====

# 3
The following is a PBE calculation of a geometry-optimized Ti4AlN3 structure, from Alexandria via LeMat-Bulk.

Calculated values
The value obtained for the formation energy without anion corrections is -1469 meV per atom.

a b c (Å): 2.997 2.997 23.469
angles (deg): 90.00 90.00 120.00
Sites, in units of the cell vectors:
Ti  0.000  0.000  0.154
Ti  0.000  0.000  0.346
Ti  0.000  0.000  0.654
Ti  0.000  0.000  0.846
Ti  0.333  0.667  0.054
Ti  0.333  0.667  0.446
Ti  0.667  0.333  0.554
Ti  0.667  0.333  0.946
Al  0.333  0.667  0.250
Al  0.667  0.333  0.750
N  0.000  0.000  0.000
N  0.000  0.000  0.500
N  0.333  0.667  0.606
N  0.333  0.667  0.894
N  0.667  0.333  0.106
N  0.667  0.333  0.394

=====

# 4
The following is a PBE calculation of a geometry-optimized CrCd2Sb structure, from Alexandria via LeMat-Bulk.

Calculated values
The value obtained for the formation energy without anion corrections is 306 meV per atom.

a b c (Å): 5.445 5.445 3.311
angles (deg): 90.00 90.00 116.39
Sites, in units of the cell vectors:
Cr  0.000  0.000  0.000
Cd  0.000  0.500  0.500
Cd  0.500  0.000  0.500
Sb  0.500  0.500  0.000

=====

# 5
The following is a PBE calculation of a geometry-optimized DyTiNiRu structure, from Alexandria via LeMat-Bulk.

Calculated values
The value obtained for the energy of formation from the pure elements is -331 meV per atom.

a b c (Å): 4.560 4.560 4.560
angles (deg): 60.00 60.00 60.00
Sites, in units of the cell vectors:
Dy  0.000  0.000  0.000
Ti  0.500  0.500  0.500
Ni  0.750  0.750  0.750
Ru  0.250  0.250  0.250

=====

# 6
The following is a PBE calculation of a geometry-optimized SbRuRh structure, from Alexandria via LeMat-Bulk.

Calculated values
The value obtained for the formation energy without anion corrections is 15 meV per atom.

a b c (Å): 4.281 4.281 4.281
angles (deg): 60.00 60.00 60.00
Sites, in units of the cell vectors:
Sb  0.000  0.000  0.000
Ru  0.750  0.750  0.750
Rh  0.250  0.250  0.250

=====

# 7
The following is a PBE calculation of a geometry-optimized Cd4AsIBr2 structure, from Alexandria via LeMat-Bulk.

Calculated values
The value obtained for the formation energy without anion corrections is -346 meV per atom.

a b c (Å): 11.536 7.222 7.575
angles (deg): 90.00 90.00 90.00
Sites, in units of the cell vectors:
Cd  0.000  0.178  0.000
Cd  0.000  0.804  0.557
Cd  0.128  0.540  0.995
Cd  0.372  0.460  0.495
Cd  0.500  0.196  0.057
Cd  0.500  0.822  0.500
Cd  0.628  0.460  0.495
Cd  0.872  0.540  0.995
As  0.000  0.824  0.896
As  0.500  0.176  0.396
I  0.000  0.154  0.399
I  0.500  0.846  0.899
Br  0.184  0.637  0.356
Br  0.316  0.363  0.856
Br  0.684  0.363  0.856
Br  0.816  0.637  0.356

=====

# 8
The following is a PBE calculation of a geometry-optimized AsI2NF structure, from Alexandria via LeMat-Bulk.

Calculated values
The value obtained for the formation energy without anion corrections is 627 meV per atom.

a b c (Å): 6.009 6.009 3.531
angles (deg): 90.00 90.00 90.00
Sites, in units of the cell vectors:
As  0.000  0.000  0.000
I  0.000  0.500  0.000
I  0.500  0.000  0.000
N  0.000  0.000  0.500
F  0.500  0.500  0.500

=====

# 9
The following is a PBE calculation of a geometry-optimized Sr3MgGa structure, from Alexandria via LeMat-Bulk.

Calculated values
The value obtained for the energy of formation from the pure elements is 38 meV per atom.

a b c (Å): 6.169 6.169 6.169
angles (deg): 90.00 90.00 90.00
Sites, in units of the cell vectors:
Sr  0.000  0.000  0.500
Sr  0.000  0.500  0.000
Sr  0.500  0.000  0.000
Mg  0.500  0.500  0.500
Ga  0.000  0.000  0.000

=====

# 10
The following is a PBE calculation of a geometry-optimized SrAcAlHg structure, from Alexandria via LeMat-Bulk.

Calculated values
The value obtained for the energy of formation from the pure elements is -339 meV per atom.

a b c (Å): 5.667 5.667 5.667
angles (deg): 60.00 60.00 60.00
Sites, in units of the cell vectors:
Sr  0.000  0.000  0.000
Ac  0.500  0.500  0.500
Al  0.750  0.750  0.750
Hg  0.250  0.250  0.250

=====

# 11
The following is a PBE calculation of a geometry-optimized Cs3LiIn structure, from Alexandria via LeMat-Bulk.

Calculated values
The value obtained for the energy of formation from the pure elements is 250 meV per atom.

a b c (Å): 7.449 7.449 7.449
angles (deg): 90.00 90.00 90.00
Sites, in units of the cell vectors:
Cs  0.000  0.000  0.500
Cs  0.000  0.500  0.000
Cs  0.500  0.000  0.000
Li  0.500  0.500  0.500
In  0.000  0.000  0.000

=====

# 12
The following is a PBE calculation of a geometry-optimized Mg2TlPb structure, from Alexandria via LeMat-Bulk.

Calculated values
The value obtained for the energy of formation from the pure elements is -15 meV per atom.

a b c (Å): 3.493 4.596 6.537
angles (deg): 90.00 90.00 90.00
Sites, in units of the cell vectors:
Mg  0.000  0.000  0.000
Mg  0.500  0.500  0.263
Tl  0.500  0.500  0.778
Pb  0.000  0.000  0.488

=====

# 13
The following is a PBE calculation of a geometry-optimized Np3Si4Rh11 structure, from Alexandria via LeMat-Bulk.

Calculated values
The value obtained for the formation energy without anion corrections is -514 meV per atom.

a b c (Å): 5.407 5.407 11.753
angles (deg): 90.00 90.00 120.00
Sites, in units of the cell vectors:
Np  0.000  0.000  0.000
Np  0.000  0.000  0.329
Np  0.000  0.000  0.671
Si  0.333  0.667  0.342
Si  0.333  0.667  0.658
Si  0.667  0.333  0.342
Si  0.667  0.333  0.658
Rh  0.000  0.500  0.186
Rh  0.000  0.500  0.500
Rh  0.000  0.500  0.814
Rh  0.333  0.667  0.000
Rh  0.500  0.000  0.186
Rh  0.500  0.000  0.500
Rh  0.500  0.000  0.814
Rh  0.500  0.500  0.186
Rh  0.500  0.500  0.500
Rh  0.500  0.500  0.814
Rh  0.667  0.333  0.000